13
Lattice="5.3150 -7.5529 0.0000 5.3150 7.5529 0.0000 0.0000 0.0000 5.3101" Properties=species:S:1:pos:R:3 comment="Th2Np3Te8, relaxed, DFT PBE-GGA" vol_a3_per_atom=32.79 e_tot_ev_per_atom=-6.8772 pbc="T T T"
Th 5.3150 3.8837 0.0000
Th 5.3150 -3.8837 0.0000
Np 2.5821 0.0000 2.6550
Np 5.3150 0.0000 0.0000
Np 8.0480 0.0000 2.6550
Te 5.3150 5.6567 2.6550
Te 2.7324 1.8641 0.0000
Te 2.7324 -1.8641 0.0000
Te 5.3150 1.8080 2.6550
Te 5.3150 -1.8080 2.6550
Te 7.8977 1.8641 0.0000
Te 7.8977 -1.8641 0.0000
Te 5.3150 -5.6567 2.6550

***

6
Lattice="5.1436 -5.1780 0.0000 5.1436 5.1780 0.0000 0.0000 0.0000 4.6067" Properties=species:S:1:pos:R:3 comment="ThNpTe4, relaxed, DFT PBE-GGA" vol_a3_per_atom=40.90 e_tot_ev_per_atom=-6.2258 pbc="T T T"
Th 0.0000 0.0000 0.0000
Np 5.1436 0.0000 2.3034
Te 5.1436 3.0845 2.3034
Te 3.1453 0.0000 0.0000
Te 7.1419 0.0000 0.0000
Te 5.1436 -3.0845 2.3034

***

15
Lattice="4.4308 2.5581 8.4407 -4.4308 2.5581 8.4407 0.0000 -5.1163 8.4407" Properties=species:S:1:pos:R:3 comment="Th3NpTl3Te8, relaxed, DFT PBE-GGA" vol_a3_per_atom=38.27 e_tot_ev_per_atom=-5.3260 pbc="T T T"
Th -2.2154 -1.2791 8.4407
Th -2.2154 1.2791 16.8814
Th 0.0000 2.5581 8.4407
Np 0.0000 0.0000 0.0000
Tl -4.4308 0.0000 12.6611
Tl -2.2154 1.2791 4.2203
Tl 2.2154 1.2791 4.2204
Te 0.0000 -2.5466 10.2941
Te -2.2054 1.2733 10.2941
Te 0.0000 0.0000 6.5430
Te -2.2054 -1.2733 15.0280
Te 2.2054 1.2733 10.2941
Te 0.0000 0.0000 18.7791
Te 2.2054 -1.2733 15.0280
Te 0.0000 2.5466 15.0280

***

6
Lattice="6.8715 0.0000 0.0000 0.0000 4.0340 0.0000 -0.0793 0.0000 7.0885" Properties=species:S:1:pos:R:3 comment="NpTiTe4, relaxed, DFT PBE-GGA" vol_a3_per_atom=32.75 e_tot_ev_per_atom=-6.1401 pbc="T T T"
Np 0.0000 0.0000 0.0000
Ti -0.0396 2.0170 3.5443
Te 1.6505 0.0000 2.5082
Te 1.7117 2.0170 5.7289
Te 5.0806 2.0170 1.3596
Te 5.1417 0.0000 4.5804